Record 1
# Ce2EuGe (PBE, optimized geometry)
# - E_tot: -0.514 Ry/atom
# - Energy of formation from the pure elements: -307 meV/atom
data_Ce2EuGe
_chemical_formula_sum 'Ce2 Eu1 Ge1'
_cell_length_a 3.963
_cell_length_b 3.963
_cell_length_c 7.450
_cell_angle_alpha 90.00
_cell_angle_beta 90.00
_cell_angle_gamma 90.00
_symmetry_space_group_name_H-M 'P 4/m m m'
_symmetry_Int_Tables_number 123
_symmetry_space_group_name_Hall '-P 4 2'
loop_
_atom_site_label
_atom_site_fract_x
_atom_site_fract_y
_atom_site_fract_z
_atom_site_occupancy
Ce1 0.000 0.000 0.182 1
Eu1 0.500 0.500 0.500 1
Ge1 0.500 0.500 0.000 1

Record 2
# CeEuGe2 (PBE, optimized geometry)
# - E_tot: -0.508 Ry/atom
# - Energy of formation from the pure elements: -545 meV/atom
data_CeEuGe2
_chemical_formula_sum 'Ce4 Eu4 Ge8'
_cell_length_a 7.333
_cell_length_b 7.333
_cell_length_c 7.333
_cell_angle_alpha 90.00
_cell_angle_beta 90.00
_cell_angle_gamma 90.00
_symmetry_space_group_name_H-M 'F m -3 m'
_symmetry_Int_Tables_number 225
_symmetry_space_group_name_Hall '-F 4 2 3'
loop_
_atom_site_label
_atom_site_fract_x
_atom_site_fract_y
_atom_site_fract_z
_atom_site_occupancy
Ce1 0.000 0.000 0.000 1
Eu1 0.000 0.000 0.500 1
Ge1 0.250 0.250 0.250 1

Record 3
# CeEuGe2 (PBE, optimized geometry)
# - E_tot: -0.511 Ry/atom
# - Energy of formation from the pure elements: -590 meV/atom
data_CeEuGe2
_chemical_formula_sum 'Ce1 Eu1 Ge2'
_cell_length_a 3.413
_cell_length_b 3.413
_cell_length_c 8.280
_cell_angle_alpha 90.00
_cell_angle_beta 90.00
_cell_angle_gamma 90.00
_symmetry_space_group_name_H-M 'P 4/m m m'
_symmetry_Int_Tables_number 123
_symmetry_space_group_name_Hall '-P 4 2'
loop_
_atom_site_label
_atom_site_fract_x
_atom_site_fract_y
_atom_site_fract_z
_atom_site_occupancy
Ce1 0.000 0.000 0.000 1
Eu1 0.000 0.000 0.500 1
Ge1 0.500 0.500 0.245 1

Record 4
# Ce2EuGe (PBE, optimized geometry)
# - E_tot: -0.499 Ry/atom
# - Energy of formation from the pure elements: -101 meV/atom
data_Ce2EuGe
_chemical_formula_sum 'Ce8 Eu4 Ge4'
_cell_length_a 7.517
_cell_length_b 7.517
_cell_length_c 7.517
_cell_angle_alpha 90.00
_cell_angle_beta 90.00
_cell_angle_gamma 90.00
_symmetry_space_group_name_H-M 'F m -3 m'
_symmetry_Int_Tables_number 225
_symmetry_space_group_name_Hall '-F 4 2 3'
loop_
_atom_site_label
_atom_site_fract_x
_atom_site_fract_y
_atom_site_fract_z
_atom_site_occupancy
Ce1 0.250 0.250 0.250 1
Eu1 0.000 0.000 0.000 1
Ge1 0.000 0.000 0.500 1

Record 5
# Ce2EuGe (PBE, optimized geometry)
# - E_tot: -0.512 Ry/atom
# - Energy of formation from the pure elements: -282 meV/atom
data_Ce2EuGe
_chemical_formula_sum 'Ce2 Eu1 Ge1'
_cell_length_a 4.655
_cell_length_b 4.655
_cell_length_c 4.784
_cell_angle_alpha 90.00
_cell_angle_beta 90.00
_cell_angle_gamma 90.00
_symmetry_space_group_name_H-M 'P 4/m m m'
_symmetry_Int_Tables_number 123
_symmetry_space_group_name_Hall '-P 4 2'
loop_
_atom_site_label
_atom_site_fract_x
_atom_site_fract_y
_atom_site_fract_z
_atom_site_occupancy
Ce1 0.000 0.500 0.000 1
Eu1 0.000 0.000 0.500 1
Ge1 0.500 0.500 0.500 1

Record 6
# CeEuGe4 (PBE, optimized geometry)
# - E_tot: -0.454 Ry/atom
# - Energy of formation from the pure elements: -391 meV/atom
data_CeEuGe4
_chemical_formula_sum 'Ce4 Eu4 Ge16'
_cell_length_a 8.062
_cell_length_b 8.062
_cell_length_c 8.062
_cell_angle_alpha 90.00
_cell_angle_beta 90.00
_cell_angle_gamma 90.00
_symmetry_space_group_name_H-M 'F -4 3 m'
_symmetry_Int_Tables_number 216
_symmetry_space_group_name_Hall 'F -4 2 3'
loop_
_atom_site_label
_atom_site_fract_x
_atom_site_fract_y
_atom_site_fract_z
_atom_site_occupancy
Ce1 0.000 0.000 0.000 1
Eu1 0.250 0.250 0.750 1
Ge1 0.125 0.125 0.375 1

Record 7
# CeEuHgGe (PBE, optimized geometry)
# - E_tot: -0.424 Ry/atom
# - Energy of formation from the pure elements: -493 meV/atom
data_CeEuHgGe
_chemical_formula_sum 'Ce4 Eu4 Hg4 Ge4'
_cell_length_a 7.555
_cell_length_b 7.555
_cell_length_c 7.555
_cell_angle_alpha 90.00
_cell_angle_beta 90.00
_cell_angle_gamma 90.00
_symmetry_space_group_name_H-M 'F -4 3 m'
_symmetry_Int_Tables_number 216
_symmetry_space_group_name_Hall 'F -4 2 3'
loop_
_atom_site_label
_atom_site_fract_x
_atom_site_fract_y
_atom_site_fract_z
_atom_site_occupancy
Ce1 0.000 0.000 0.000 1
Eu1 0.000 0.000 0.500 1
Hg1 0.250 0.250 0.750 1
Ge1 0.250 0.250 0.250 1

Record 8
# CeEuMgGe (PBE, optimized geometry)
# - E_tot: -0.432 Ry/atom
# - Energy of formation from the pure elements: -273 meV/atom
data_CeEuMgGe
_chemical_formula_sum 'Ce4 Eu4 Mg4 Ge4'
_cell_length_a 7.522
_cell_length_b 7.522
_cell_length_c 7.522
_cell_angle_alpha 90.00
_cell_angle_beta 90.00
_cell_angle_gamma 90.00
_symmetry_space_group_name_H-M 'F -4 3 m'
_symmetry_Int_Tables_number 216
_symmetry_space_group_name_Hall 'F -4 2 3'
loop_
_atom_site_label
_atom_site_fract_x
_atom_site_fract_y
_atom_site_fract_z
_atom_site_occupancy
Ce1 0.000 0.000 0.000 1
Eu1 0.000 0.000 0.500 1
Mg1 0.250 0.250 0.750 1
Ge1 0.250 0.250 0.250 1